Compound: LaMnFe3Bi3O12
Source: the Alexandria database
Functional: PBE with a Hubbard U
Structure: relaxed

**Space-group type**: Cm (8)
**DFT total energy**: -6.563 eV per atom
**Total magnetic moment**: 0.250 μB/atom

Cell: 5.608 5.608 9.727 Å, 72.25 72.25 58.72°
Site moments in Bohr magnetons follow the coordinates.
Fractional coordinates of all 20 atoms:
La  0.375  0.375  0.377  0.00
O  0.572  0.572  0.160  -0.01
O  0.082  0.082  0.668  -0.01
O  0.419  0.419  0.835  -0.09
Bi  0.640  0.640  0.617  0.01
Fe  0.497  0.497  0.999  1.13
O  0.094  0.599  0.600  0.00
O  0.406  0.894  0.903  -0.08
Fe  0.248  0.248  0.749  -4.28
O  0.895  0.414  0.403  0.03
O  0.894  0.406  0.903  -0.08
O  0.414  0.895  0.403  0.03
O  0.094  0.591  0.100  -0.04
O  0.599  0.094  0.600  0.00
O  0.934  0.934  0.330  0.13
Bi  0.855  0.855  0.890  0.01
Mn  0.752  0.752  0.251  3.88
Fe  0.002  0.002  0.504  4.27
O  0.591  0.094  0.100  -0.04
Bi  0.136  0.136  0.110  0.01